1.
Computed, not measured: an optimized crystal structure of LiHS2Cl at the GGA-PBEsol level of DFT.

a b c (Å): 4.352 4.352 4.756
angles (deg): 90.00 90.00 90.00
Fractional positions:
Li 0.000 0.000 0.000
H 0.500 0.500 0.500
S 0.000 0.500 0.000
S 0.500 0.000 0.000
Cl 0.000 0.000 0.500

Results
Crystal system: tetragonal
Final energy, eV per atom: -2.42
M_tot, μB/atom: 0.482


2.
Computed, not measured: an optimized crystal structure of LuH2ClO2 at the GGA-PBEsol level of DFT.

a b c (Å): 6.090 3.446 6.423
angles (deg): 90.00 104.01 90.00
Fractional positions:
Lu 0.224 0.250 0.398
Lu 0.776 0.750 0.602
H 0.123 0.250 0.812
H 0.373 0.750 0.744
H 0.627 0.250 0.256
H 0.877 0.750 0.188
Cl 0.274 0.750 0.074
Cl 0.726 0.250 0.926
O 0.039 0.250 0.660
O 0.395 0.750 0.597
O 0.605 0.250 0.403
O 0.961 0.750 0.340

Results
Crystal system: monoclinic
Final energy, eV per atom: -6.15
M_tot, μB/atom: 0.000


Which of these has the lowest M_tot? LuH2ClO2


What did the second record say?
Computed, not measured: an optimized crystal structure of LuH2ClO2 at the GGA-PBEsol level of DFT.

a b c (Å): 6.090 3.446 6.423
angles (deg): 90.00 104.01 90.00
Fractional positions:
Lu 0.224 0.250 0.398
Lu 0.776 0.750 0.602
H 0.123 0.250 0.812
H 0.373 0.750 0.744
H 0.627 0.250 0.256
H 0.877 0.750 0.188
Cl 0.274 0.750 0.074
Cl 0.726 0.250 0.926
O 0.039 0.250 0.660
O 0.395 0.750 0.597
O 0.605 0.250 0.403
O 0.961 0.750 0.340

Results
Crystal system: monoclinic
Final energy, eV per atom: -6.15
M_tot, μB/atom: 0.000


The highest final energy belongs to which entry? LiHS2Cl


What did the second record say?
Computed, not measured: an optimized crystal structure of LuH2ClO2 at the GGA-PBEsol level of DFT.

a b c (Å): 6.090 3.446 6.423
angles (deg): 90.00 104.01 90.00
Fractional positions:
Lu 0.224 0.250 0.398
Lu 0.776 0.750 0.602
H 0.123 0.250 0.812
H 0.373 0.750 0.744
H 0.627 0.250 0.256
H 0.877 0.750 0.188
Cl 0.274 0.750 0.074
Cl 0.726 0.250 0.926
O 0.039 0.250 0.660
O 0.395 0.750 0.597
O 0.605 0.250 0.403
O 0.961 0.750 0.340

Results
Crystal system: monoclinic
Final energy, eV per atom: -6.15
M_tot, μB/atom: 0.000